Entry 1:
VASP calculation (PBE) on a relaxed ReRuC3 crystal.

Calculated formation energy = 2128 meV/atom
D(E_F) = 1.0152 states/eV per atom

Cell: 3.995 3.995 3.995 Å, 90.00 90.00 90.00°
Atoms (fractional coordinates):
Re 0.000 0.000 0.000
C 0.000 0.500 0.000
C 0.000 0.000 0.500
C 0.500 0.000 0.000
Ru 0.500 0.500 0.500

=====

Entry 2:
VASP calculation (PBE) on a relaxed LaGdMgCu crystal.

Calculated formation energy = -51 meV/atom
D(E_F) = 1.0370 states/eV per atom

Cell: 5.285 5.285 5.285 Å, 60.00 60.00 60.00°
Atoms (fractional coordinates):
Mg 0.250 0.250 0.250
Gd 0.000 0.000 0.000
Cu 0.750 0.750 0.750
La 0.500 0.500 0.500

=====

Entry 3:
VASP calculation (PBE) on a relaxed Y2TaIr crystal.

Calculated formation energy = 159 meV/atom
D(E_F) = 1.0954 states/eV per atom

Cell: 5.556 5.976 3.143 Å, 75.47 81.49 117.82°
Atoms (fractional coordinates):
Ir 0.500 0.500 0.000
Ta 0.500 0.000 0.500
Y 0.000 0.000 0.000
Y 0.000 0.500 0.500

=====

Entry 4:
VASP calculation (PBE) on a relaxed Dy3NpIr8 crystal.

Calculated formation energy = -706 meV/atom
D(E_F) = 1.0295 states/eV per atom

Cell: 5.357 5.357 9.268 Å, 73.20 73.20 60.00°
Atoms (fractional coordinates):
Dy 0.374 0.374 0.877
Dy 0.000 0.000 0.999
Dy 0.500 0.500 0.501
Np 0.876 0.876 0.373
Ir 0.935 0.438 0.189
Ir 0.440 0.937 0.686
Ir 0.438 0.438 0.189
Ir 0.937 0.937 0.686
Ir 0.187 0.187 0.438
Ir 0.688 0.688 0.937
Ir 0.438 0.935 0.189
Ir 0.937 0.440 0.686

=====

Entry 5:
VASP calculation (PBE) on a relaxed HoTh2Te5 crystal.

E_form (uncorrected) = -368 meV per atom
D(E_F) = 1.1016 states/eV per atom

Cell: 5.184 7.394 7.394 Å, 90.00 90.00 90.00°
Atoms (fractional coordinates):
Ho 0.000 0.000 0.000
Th 0.500 0.500 0.000
Th 0.500 0.000 0.500
Te 0.000 0.720 0.720
Te 0.000 0.280 0.720
Te 0.000 0.720 0.280
Te 0.500 0.000 0.000
Te 0.000 0.280 0.280

=====

Entry 6:
VASP calculation (PBE) on a relaxed MnOsPb2 crystal.

Calculated formation energy = 821 meV/atom
D(E_F) = 0.7574 states/eV per atom

Cell: 4.838 4.838 5.426 Å, 81.35 81.35 41.18°
Atoms (fractional coordinates):
Mn 0.750 0.750 0.750
Os 0.250 0.250 0.250
Pb 0.990 0.990 0.010
Pb 0.510 0.510 0.490

=====

Entry 7:
VASP calculation (PBE) on a relaxed Ba2Zn4In3Ag crystal.

Calculated formation energy = -262 meV/atom
D(E_F) = 0.5296 states/eV per atom

Cell: 4.869 4.869 10.865 Å, 90.00 90.00 90.00°
Atoms (fractional coordinates):
Ba 0.500 0.000 0.247
Ba 0.000 0.500 0.753
Zn 0.500 0.500 0.000
Zn 0.000 0.000 0.000
Zn 0.500 0.000 0.619
Zn 0.000 0.500 0.381
In 0.000 0.000 0.500
In 0.500 0.000 0.871
In 0.000 0.500 0.129
Ag 0.500 0.500 0.500

=====

Entry 8:
VASP calculation (PBE) on a relaxed Sm7Se5S crystal.

E_form (uncorrected) = -1628 meV per atom
D(E_F) = 0.6075 states/eV per atom

Cell: 4.029 7.087 24.919 Å, 91.70 90.00 106.51°
Atoms (fractional coordinates):
Sm 0.460 0.921 0.248
Sm 0.540 0.080 0.752
Sm 0.643 0.287 0.038
Sm 0.357 0.715 0.962
Sm 0.364 0.729 0.539
Sm 0.636 0.272 0.461
Sm 0.212 0.423 0.183
Sm 0.789 0.578 0.817
Sm 0.804 0.608 0.679
Sm 0.196 0.393 0.321
Sm 0.929 0.858 0.109
Sm 0.071 0.143 0.891
Sm 0.092 0.184 0.617
Sm 0.908 0.816 0.383
Se 0.000 0.001 0.000
Se 0.716 0.432 0.927
Se 0.285 0.570 0.073
Se 0.552 0.104 0.353
Se 0.449 0.897 0.647
Se 0.000 0.000 0.500
Se 0.278 0.557 0.429
Se 0.722 0.444 0.571
Se 0.430 0.861 0.853
Se 0.570 0.140 0.147
S 0.816 0.632 0.273
S 0.184 0.369 0.727

=====

What is the D(E_F) in the first record? 1.0152 states/eV per atom

=====

Please write out number 8 again, unchanged.
VASP calculation (PBE) on a relaxed Sm7Se5S crystal.

E_form (uncorrected) = -1628 meV per atom
D(E_F) = 0.6075 states/eV per atom

Cell: 4.029 7.087 24.919 Å, 91.70 90.00 106.51°
Atoms (fractional coordinates):
Sm 0.460 0.921 0.248
Sm 0.540 0.080 0.752
Sm 0.643 0.287 0.038
Sm 0.357 0.715 0.962
Sm 0.364 0.729 0.539
Sm 0.636 0.272 0.461
Sm 0.212 0.423 0.183
Sm 0.789 0.578 0.817
Sm 0.804 0.608 0.679
Sm 0.196 0.393 0.321
Sm 0.929 0.858 0.109
Sm 0.071 0.143 0.891
Sm 0.092 0.184 0.617
Sm 0.908 0.816 0.383
Se 0.000 0.001 0.000
Se 0.716 0.432 0.927
Se 0.285 0.570 0.073
Se 0.552 0.104 0.353
Se 0.449 0.897 0.647
Se 0.000 0.000 0.500
Se 0.278 0.557 0.429
Se 0.722 0.444 0.571
Se 0.430 0.861 0.853
Se 0.570 0.140 0.147
S 0.816 0.632 0.273
S 0.184 0.369 0.727

=====

What is the formula in the third record? Y2TaIr